# Hg2BiI2 | Alexandria | GGA-PBE | relaxed
# Crystal system: triclinic
# Formation energy from raw total energies, eV/atom: -0.1923
# Final energy, hartree per atom: -0.063
# Excess energy over the best structure of this formula in the dataset, eV per atom: 0.0346
data_Hg2BiI2
_chemical_formula_sum 'Hg4 Bi2 I4'
_space_group_name_H-M_alt 'P 1'
_space_group_IT_number 1
_cell_length_a 6.4643
_cell_length_b 7.3702
_cell_length_c 8.8108
_cell_angle_alpha 95.57
_cell_angle_beta 97.32
_cell_angle_gamma 102.34
loop_
_space_group_symop_operation_xyz
'x,y,z'
loop_
_atom_site_label
_atom_site_type_symbol
_atom_site_fract_x
_atom_site_fract_y
_atom_site_fract_z
Hg1 Hg 0.0000 0.0000 0.0000
Hg2 Hg 0.1313 0.1397 0.7080
Hg3 Hg 0.4380 0.8925 0.6044
Hg4 Hg 0.8132 0.4070 0.6429
Bi1 Bi 0.1874 0.7283 0.1340
Bi2 Bi 0.5505 0.0547 0.3252
I1 I 0.2631 0.3231 0.3695
I2 I 0.4381 0.6565 0.8616
I3 I 0.7069 0.2378 0.0152
I4 I 0.8534 0.7535 0.3589

***

# Hg4BiI2 | Alexandria | GGA-PBE | relaxed
# Fermi-level density of states, states/eV/f.u.: 1.67
# Crystal system: tetragonal
# Formation energy from raw total energies, eV/atom: -0.0868
# Final energy, hartree per atom: -0.046
# Excess energy over the best structure of this formula in the dataset, eV per atom: 0.0209
data_Hg4BiI2
_chemical_formula_sum 'Hg8 Bi2 I4'
_space_group_name_H-M_alt 'I 4/m m m'
_space_group_IT_number 139
_space_group_name_Hall '-I 4 2'
_cell_length_a 5.9166
_cell_length_b 5.9166
_cell_length_c 16.1998
_cell_angle_alpha 90.00
_cell_angle_beta 90.00
_cell_angle_gamma 90.00
loop_
_atom_site_label
_atom_site_type_symbol
_atom_site_fract_x
_atom_site_fract_y
_atom_site_fract_z
Hg1 Hg 0.0000 0.0000 0.1851
Hg2 Hg 0.0000 0.5000 0.0000
Bi1 Bi 0.0000 0.0000 0.0000
I1 I 0.0000 0.0000 0.3690

***

# Hg4BiI2 | Alexandria | GGA-PBE | relaxed
# Fermi-level density of states, states/eV/f.u.: 2.05
# Crystal system: triclinic
# Formation energy from raw total energies, eV/atom: -0.1077
# Final energy, hartree per atom: -0.047
# Excess energy over the best structure of this formula in the dataset, eV per atom: 0.0000
data_Hg4BiI2
_chemical_formula_sum 'Hg4 Bi1 I2'
_space_group_name_H-M_alt 'P -1'
_space_group_IT_number 2
_cell_length_a 6.1831
_cell_length_b 6.7647
_cell_length_c 7.2799
_cell_angle_alpha 94.67
_cell_angle_beta 100.33
_cell_angle_gamma 115.22
loop_
_space_group_symop_operation_xyz
'x,y,z'
'-x,-y,-z'
loop_
_atom_site_label
_atom_site_type_symbol
_atom_site_fract_x
_atom_site_fract_y
_atom_site_fract_z
Hg1 Hg 0.0000 0.0000 0.0000
Hg2 Hg 0.0000 0.0000 0.5000
Hg3 Hg 0.2378 0.6841 0.1222
Bi1 Bi 0.5000 0.0000 0.5000
I1 I 0.3699 0.6042 0.7160

***

# HgBiI2 | Alexandria | GGA-PBE | relaxed
# Fermi-level density of states, states/eV/f.u.: 2.12
# Crystal system: triclinic
# Formation energy from raw total energies, eV/atom: -0.1116
# Final energy, hartree per atom: -0.071
# Excess energy over the best structure of this formula in the dataset, eV per atom: 0.0693
data_HgBiI2
_chemical_formula_sum 'Hg2 Bi2 I4'
_space_group_name_H-M_alt 'P -1'
_space_group_IT_number 2
_cell_length_a 4.1979
_cell_length_b 5.3536
_cell_length_c 17.6186
_cell_angle_alpha 90.17
_cell_angle_beta 90.05
_cell_angle_gamma 113.06
loop_
_space_group_symop_operation_xyz
'x,y,z'
'-x,-y,-z'
loop_
_atom_site_label
_atom_site_type_symbol
_atom_site_fract_x
_atom_site_fract_y
_atom_site_fract_z
Hg1 Hg 0.1190 0.2393 0.2314
Bi1 Bi 0.3984 0.7978 0.2872
I1 I 0.1920 0.3844 0.5878
I2 I 0.4992 0.9971 0.8856

***

# Hg2BiI2 | Alexandria | GGA-PBE | relaxed
# Fermi-level density of states, states/eV/f.u.: 1.03
# Crystal system: monoclinic
# Formation energy from raw total energies, eV/atom: -0.1298
# Final energy, hartree per atom: -0.061
# Excess energy over the best structure of this formula in the dataset, eV per atom: 0.0972
data_Hg2BiI2
_chemical_formula_sum 'Hg8 Bi4 I8'
_space_group_name_H-M_alt 'C 1 2/m 1'
_space_group_IT_number 12
_cell_length_a 17.4057
_cell_length_b 4.9286
_cell_length_c 12.2426
_cell_angle_alpha 90.00
_cell_angle_beta 127.66
_cell_angle_gamma 90.00
loop_
_space_group_symop_operation_xyz
'x,y,z'
'-x,-y,-z'
'-x,y,-z'
'x,-y,z'
'x+1/2,y+1/2,z'
'-x+1/2,-y+1/2,-z'
'-x+1/2,y+1/2,-z'
'x+1/2,-y+1/2,z'
loop_
_atom_site_label
_atom_site_type_symbol
_atom_site_fract_x
_atom_site_fract_y
_atom_site_fract_z
Hg1 Hg 0.0321 0.0000 0.1990
Hg2 Hg 0.0725 0.0000 0.6766
Bi1 Bi 0.1537 0.5000 0.2766
I1 I 0.1359 0.5000 0.0178
I2 I 0.1667 0.5000 0.5443

***

# Hg12Bi5I3 | Alexandria | GGA-PBE | relaxed
# Fermi-level density of states, states/eV/f.u.: 7.74
# Crystal system: cubic
# Formation energy from raw total energies, eV/atom: 0.0851
# Final energy, hartree per atom: -0.048
data_Hg12Bi5I3
_chemical_formula_sum 'Hg96 Bi40 I24'
_space_group_name_H-M_alt 'I a -3 d'
_space_group_IT_number 230
_space_group_name_Hall '-I 4bd 2c 3'
_cell_length_a 18.4945
_cell_length_b 18.4945
_cell_length_c 18.4945
_cell_angle_alpha 90.00
_cell_angle_beta 90.00
_cell_angle_gamma 90.00
loop_
_atom_site_label
_atom_site_type_symbol
_atom_site_fract_x
_atom_site_fract_y
_atom_site_fract_z
Hg1 Hg 0.0504 0.0777 0.6336
Bi1 Bi 0.0000 0.0000 0.0000
Bi2 Bi 0.0000 0.2500 0.3750
I1 I 0.0000 0.2500 0.1250